# KBe2CrF8

A relaxed structure of KBe2CrF8 (PBE+U, Alexandria via LeMat-Bulk).

Calculated values
- Space group: R-3
- Density: 2.7 g/cm³
- DFT total energy: -5.63 eV per atom

Lattice parameters (Å, degrees): 8.5437 8.5437 8.5437 32.83 32.83 32.83
With the nearest neighbours (Å) after each atom.
Positions (direct):
K 0.0000 0.0000 0.0000  6 F 2.90
Be 0.2387 0.2387 0.2387  4 F 1.49-1.59
Be 0.7613 0.7613 0.7613  4 F 1.49-1.59
Cr 0.5000 0.5000 0.5000  6 F 1.95
F 0.1079 0.4978 0.7504  1 Be 1.59
F 0.2496 0.8921 0.5022  1 Be 1.59
F 0.3002 0.3002 0.3002  1 Be 1.49
F 0.4978 0.7504 0.1079  1 Be 1.59
F 0.5022 0.2496 0.8921  1 Be 1.59
F 0.6998 0.6998 0.6998  1 Be 1.49
F 0.7504 0.1079 0.4978  1 Be 1.59
F 0.8921 0.5022 0.2496  1 Be 1.59

=====

# KBeCrF6

A relaxed structure of KBeCrF6 (PBE+U, Alexandria via LeMat-Bulk).

Calculated values
- Space group: P312
- Density: 2.8 g/cm³
- DFT total energy: -5.50 eV per atom

Lattice parameters (Å, degrees): 4.9761 4.9761 5.8409 90.00 90.00 120.00
With the nearest neighbours (Å) after each atom.
Positions (direct):
K 0.0000 0.0000 0.0000  6 F 2.66
Be 0.6667 0.3333 0.5000  6 F 1.79
Cr 0.3333 0.6667 0.5000  6 F 1.95
F 0.3865 0.0240 0.6748  1 Be 1.79, 1 Cr 1.95
F 0.3865 0.3625 0.3252  1 Be 1.79, 1 Cr 1.95
F 0.6375 0.0240 0.3252  1 Be 1.79, 1 Cr 1.95
F 0.6375 0.6135 0.6748  1 Be 1.79, 1 Cr 1.95
F 0.9760 0.3625 0.6748  1 Be 1.79, 1 Cr 1.95
F 0.9760 0.6135 0.3252  1 Be 1.79, 1 Cr 1.95

=====

# KBeCr2F8

A relaxed structure of KBeCr2F8 (PBE+U, Alexandria via LeMat-Bulk).

Calculated values
- Space group: P2/m
- Density: 3.2 g/cm³
- DFT total energy: -5.56 eV per atom

Lattice parameters (Å, degrees): 4.8726 6.6279 4.8809 90.00 98.80 90.00
With the nearest neighbours (Å) after each atom.
Positions (direct):
K 0.0000 0.0000 0.0000  6 F 2.43-2.54
Be 0.0000 0.5000 0.0000  4 F 1.70
Cr 0.5000 0.2687 0.5000  6 F 2.01-2.13
Cr 0.5000 0.7313 0.5000  6 F 2.01-2.13
F 0.1896 0.3188 0.1874  1 Be 1.70
F 0.1896 0.6812 0.1874  1 Be 1.70
F 0.3110 0.5000 0.6865  2 Cr 2.07, 1 Be 2.31
F 0.3411 0.0000 0.6552  2 Cr 2.13, 1 F 2.33
F 0.6589 0.0000 0.3448  2 Cr 2.13, 1 F 2.33
F 0.6890 0.5000 0.3135  2 Cr 2.07, 1 Be 2.31
F 0.8104 0.3188 0.8126  1 Be 1.70
F 0.8104 0.6812 0.8126  1 Be 1.70

=====

# La2BeCrF

A relaxed structure of La2BeCrF (PBE+U, Alexandria via LeMat-Bulk).

Calculated values
- Space group: P4/mmm
- Density: 5.0 g/cm³
- DFT total energy: -4.14 eV per atom

Lattice parameters (Å, degrees): 5.9122 5.9122 3.4028 90.00 90.00 90.00
With the nearest neighbours (Å) after each atom.
Positions (direct):
La 0.0000 0.5000 0.0000  2 Be 2.96
La 0.5000 0.0000 0.0000  2 Be 2.96
Be 0.0000 0.0000 0.0000  2 F 1.70
Cr 0.5000 0.5000 0.5000  2 Cr 3.40, 8 La 3.41
F 0.0000 0.0000 0.5000  2 Be 1.70

=====

Please write out number 4 again, unchanged.
# La2BeCrF

A relaxed structure of La2BeCrF (PBE+U, Alexandria via LeMat-Bulk).

Calculated values
- Space group: P4/mmm
- Density: 5.0 g/cm³
- DFT total energy: -4.14 eV per atom

Lattice parameters (Å, degrees): 5.9122 5.9122 3.4028 90.00 90.00 90.00
With the nearest neighbours (Å) after each atom.
Positions (direct):
La 0.0000 0.5000 0.0000  2 Be 2.96
La 0.5000 0.0000 0.0000  2 Be 2.96
Be 0.0000 0.0000 0.0000  2 F 1.70
Cr 0.5000 0.5000 0.5000  2 Cr 3.40, 8 La 3.41
F 0.0000 0.0000 0.5000  2 Be 1.70

=====

What is the density in the fourth record? 5.0 g/cm³